Entry i
First-principles (PBE-GGA) data for a relaxed structure of MnTe2PI, as listed in Alexandria via LeMat-Bulk.

Structure (POSCAR):
```
MnTe2PI
1.0
4.917 0.000 0.000
0.000 4.917 0.000
0.000 0.000 5.353
Mn Te P I
1 2 1 1
Cartesian
0.000 0.000 0.000
0.000 2.459 0.000
2.459 0.000 0.000
2.459 2.459 2.677
0.000 0.000 2.677
```

Entry ii
First-principles (PBE-GGA) data for a relaxed structure of MnTe2PI, as listed in Alexandria via LeMat-Bulk.

Structure (POSCAR):
```
MnTe2PI
1.0
5.655 0.000 0.000
0.000 5.655 0.000
0.000 0.000 4.413
Mn Te P I
1 2 1 1
Cartesian
0.000 0.000 0.000
0.000 2.828 2.207
2.828 0.000 2.207
0.000 0.000 2.207
2.828 2.828 0.000
```

Entry iii
First-principles (PBE-GGA) data for a relaxed structure of MnTe2PI, as listed in Alexandria via LeMat-Bulk.

Structure (POSCAR):
```
MnTe2PI
1.0
5.338 0.000 0.000
0.000 5.338 0.000
0.000 0.000 5.284
Mn Te P I
1 2 1 1
Cartesian
0.000 0.000 0.000
0.000 2.669 2.642
2.669 0.000 2.642
2.669 2.669 2.642
2.669 2.669 0.000
```

The most stable of them is entry ii.

Entry i
First-principles (PBE-GGA) data for a relaxed structure of PaMnI, as listed in Alexandria via LeMat-Bulk.

Structure (POSCAR):
```
PaMnI
1.0
3.345 -2.164 0.000
3.345 2.164 0.000
-0.973 0.000 11.858
Pa Mn I
2 2 2
Cartesian
0.583 0.000 1.700
5.134 0.000 10.158
2.164 0.000 0.286
3.553 0.000 11.573
0.674 0.000 7.930
5.043 0.000 3.928
```

Entry ii
First-principles (PBE-GGA) data for a relaxed structure of PaMnI, as listed in Alexandria via LeMat-Bulk.

Structure (POSCAR):
```
PaMnI
1.0
3.196 -2.269 0.000
3.196 2.269 0.000
-2.292 0.000 11.589
Pa Mn I
2 2 2
Cartesian
0.465 0.000 4.624
3.634 0.000 6.966
0.504 0.000 7.469
3.595 0.000 4.121
-0.999 0.000 9.630
5.098 0.000 1.959
```

The most stable of them is entry i.

Entry i
First-principles (PBE-GGA) data for a relaxed structure of PaMnI6, as listed in Alexandria via LeMat-Bulk.

Structure (POSCAR):
```
PaMnI6
1.0
3.764 2.173 6.803
-3.764 2.173 6.803
0.000 -4.347 6.803
Pa Mn I
1 1 6
Cartesian
0.000 0.000 0.000
0.000 0.000 10.204
-1.119 -2.115 8.550
-2.391 -0.089 11.859
-1.273 2.027 8.550
1.273 -2.027 11.859
2.391 0.089 8.550
1.119 2.115 11.859
```

Entry ii
First-principles (PBE-GGA) data for a relaxed structure of PaMnI6, as listed in Alexandria via LeMat-Bulk.

Structure (POSCAR):
```
PaMnI6
1.0
3.675 -7.282 0.000
3.675 7.282 0.000
-2.495 0.000 6.913
Pa Mn I
1 1 6
Cartesian
0.000 0.000 0.000
2.427 0.000 3.456
1.282 2.088 1.825
-0.047 0.000 5.194
1.282 -2.088 1.825
3.573 2.088 5.088
4.901 0.000 1.718
3.573 -2.088 5.088
```

The most stable of them is entry ii.

Entry i
First-principles (PBE-GGA) data for a relaxed structure of MnPbI2, as listed in Alexandria via LeMat-Bulk.

Structure (POSCAR):
```
MnPbI2
1.0
-4.873 4.873 2.897
4.873 -4.873 2.897
4.873 4.873 -2.897
Mn Pb I
2 2 4
Cartesian
0.000 0.000 0.000
0.000 4.873 1.448
4.873 0.000 1.448
0.000 0.000 2.897
1.094 2.436 0.724
-2.436 3.779 2.172
-1.094 7.309 0.724
2.436 5.967 2.172
```

Entry ii
First-principles (PBE-GGA) data for a relaxed structure of MnPbI2, as listed in Alexandria via LeMat-Bulk.

Structure (POSCAR):
```
MnPbI2
1.0
0.000 3.960 3.960
3.960 0.000 3.960
3.960 3.960 0.000
Mn Pb I
1 1 2
Cartesian
0.000 0.000 0.000
3.960 3.960 3.960
1.980 1.980 1.980
5.939 5.939 5.939
```

The most stable of them is entry i.

Entry i
First-principles (PBE-GGA) data for a relaxed structure of MnPb2I6, as listed in Alexandria via LeMat-Bulk.

Structure (POSCAR):
```
MnPb2I6
1.0
7.437 0.000 0.000
0.000 7.437 0.000
0.000 0.000 13.933
Mn Pb I
2 4 12
Cartesian
0.000 0.000 0.000
3.719 3.719 6.966
0.000 0.000 4.670
0.000 0.000 9.263
3.719 3.719 2.297
3.719 3.719 11.636
1.401 1.401 2.101
1.401 1.401 11.831
1.617 1.617 6.966
2.102 5.336 0.000
2.318 5.119 4.865
2.318 5.119 9.068
5.119 2.318 4.865
5.119 2.318 9.068
5.336 2.102 0.000
5.820 5.820 6.966
6.037 6.037 2.101
6.037 6.037 11.831
```

Entry ii
First-principles (PBE-GGA) data for a relaxed structure of MnPb2I6, as listed in Alexandria via LeMat-Bulk.

Structure (POSCAR):
```
MnPb2I6
1.0
8.574 -2.224 0.000
8.574 2.224 0.000
-3.119 0.000 10.505
Mn Pb I
1 2 6
Cartesian
0.000 0.000 0.000
3.613 0.000 7.074
10.416 0.000 3.431
-0.462 0.000 2.851
4.177 0.000 3.806
3.463 0.000 10.280
10.566 0.000 0.225
9.852 0.000 6.698
14.491 0.000 7.653
```

The most stable of them is entry ii.

Entry i
First-principles (PBE-GGA) data for a relaxed structure of Mn2PbI6, as listed in Alexandria via LeMat-Bulk.

Structure (POSCAR):
```
Mn2PbI6
1.0
8.152 -2.240 0.000
8.152 2.240 0.000
-4.755 0.000 11.680
Mn Pb I
2 1 6
Cartesian
2.314 0.000 2.575
9.235 0.000 9.105
-2.377 0.000 5.840
0.520 0.000 4.511
1.232 0.000 10.663
4.884 0.000 3.599
6.666 0.000 8.081
10.317 0.000 1.017
11.030 0.000 7.169
```

Entry ii
First-principles (PBE-GGA) data for a relaxed structure of Mn2PbI6, as listed in Alexandria via LeMat-Bulk.

Structure (POSCAR):
```
Mn2PbI6
1.0
7.467 -6.853 0.000
7.467 6.853 0.000
-1.601 0.000 7.696
Mn Pb I
4 2 12
Cartesian
2.374 1.077 2.390
1.574 -1.077 6.238
11.759 1.077 1.459
10.959 -1.077 5.307
6.266 1.556 5.772
7.067 -1.556 1.924
1.000 1.113 4.727
4.121 3.614 6.780
1.800 -1.113 0.879
5.082 1.162 2.738
8.412 3.614 4.764
4.281 -1.162 6.586
9.051 1.162 1.110
4.921 -3.614 2.932
8.251 -1.162 4.958
11.532 1.113 6.817
9.212 -3.614 0.916
12.333 -1.113 2.969
```

The most stable of them is entry ii.

Entry i
First-principles (PBE-GGA) data for a relaxed structure of MnPb2I, as listed in Alexandria via LeMat-Bulk.

Structure (POSCAR):
```
MnPb2I
1.0
0.000 3.903 3.903
3.903 0.000 3.903
3.903 3.903 0.000
Mn Pb I
1 2 1
Cartesian
0.000 0.000 0.000
1.952 1.952 1.952
5.855 5.855 5.855
3.903 3.903 3.903
```

Entry ii
First-principles (PBE-GGA) data for a relaxed structure of MnPb2I, as listed in Alexandria via LeMat-Bulk.

Structure (POSCAR):
```
MnPb2I
1.0
-3.297 3.297 6.860
3.297 -3.297 6.860
3.297 3.297 -6.860
Mn Pb I
2 4 2
Cartesian
0.000 0.000 0.000
0.000 3.297 3.430
4.945 0.875 -1.715
0.875 1.648 1.715
-1.648 2.421 5.145
2.421 1.648 8.576
3.297 0.000 3.430
0.000 0.000 6.860
```

The most stable of them is entry i.

Entry i
First-principles (PBE-GGA) data for a relaxed structure of MnPd2I, as listed in Alexandria via LeMat-Bulk.

Structure (POSCAR):
```
MnPd2I
1.0
-3.747 3.747 2.788
3.747 -3.747 2.788
3.747 3.747 -2.788
Mn Pd I
2 4 2
Cartesian
0.000 0.000 0.000
0.000 3.747 1.394
5.621 1.720 -0.697
1.720 1.874 0.697
-1.874 2.027 2.091
2.027 1.874 3.485
3.747 0.000 1.394
0.000 0.000 2.788
```

Entry ii
First-principles (PBE-GGA) data for a relaxed structure of MnPd2I, as listed in Alexandria via LeMat-Bulk.

Structure (POSCAR):
```
MnPd2I
1.0
0.000 3.343 3.343
3.343 0.000 3.343
3.343 3.343 0.000
Mn Pd I
1 2 1
Cartesian
0.000 0.000 0.000
1.671 1.671 1.671
5.014 5.014 5.014
3.343 3.343 3.343
```

The most stable of them is entry ii.

Entry i
First-principles (PBE-GGA) data for a relaxed structure of Mn2PdI8, as listed in Alexandria via LeMat-Bulk.

Structure (POSCAR):
```
Mn2PdI8
1.0
6.266 -4.404 0.000
6.266 4.404 0.000
-3.563 0.000 9.684
Mn Pd I
2 1 8
Cartesian
-0.040 0.000 3.738
9.009 0.000 5.946
0.000 0.000 0.000
-0.838 0.000 6.320
2.387 2.506 7.868
6.582 2.506 1.816
2.394 0.000 4.606
6.575 0.000 5.077
2.387 -2.506 7.868
6.582 -2.506 1.816
9.807 0.000 3.363
```

Entry ii
First-principles (PBE-GGA) data for a relaxed structure of Mn2PdI8, as listed in Alexandria via LeMat-Bulk.

Structure (POSCAR):
```
Mn2PdI8
1.0
5.857 -5.834 0.000
5.857 5.834 0.000
-0.566 0.000 7.093
Mn Pd I
2 1 8
Cartesian
2.547 0.000 1.087
8.602 0.000 6.006
-0.283 0.000 3.547
4.284 3.917 4.917
2.102 0.000 5.611
6.865 3.917 2.177
4.991 0.000 1.833
6.158 0.000 5.260
4.284 -3.917 4.917
9.047 0.000 1.482
6.865 -3.917 2.177
```

The most stable of them is entry i.

Entry i
First-principles (PBE-GGA) data for a relaxed structure of MnSb2PdI, as listed in Alexandria via LeMat-Bulk.

Structure (POSCAR):
```
MnSb2PdI
1.0
5.124 0.000 0.000
0.000 5.124 0.000
0.000 0.000 5.384
Mn Sb Pd I
1 2 1 1
Cartesian
0.000 0.000 0.000
0.000 2.562 2.692
2.562 0.000 2.692
2.562 2.562 2.692
2.562 2.562 0.000
```

Entry ii
First-principles (PBE-GGA) data for a relaxed structure of MnSb2PdI, as listed in Alexandria via LeMat-Bulk.

Structure (POSCAR):
```
MnSb2PdI
1.0
4.971 0.000 0.000
0.000 4.971 0.000
0.000 0.000 5.459
Mn Sb Pd I
1 2 1 1
Cartesian
0.000 0.000 0.000
0.000 2.486 0.000
2.486 0.000 0.000
2.486 2.486 2.729
0.000 0.000 2.729
```

The most stable of them is entry ii.

Entry i
First-principles (PBE-GGA) data for a relaxed structure of Mn2PtI, as listed in Alexandria via LeMat-Bulk.

Structure (POSCAR):
```
Mn2PtI
1.0
-2.778 2.778 5.610
2.778 -2.778 5.610
2.778 2.778 -5.610
Mn Pt I
4 2 2
Cartesian
4.167 1.230 -1.402
1.230 1.389 1.402
-1.389 1.549 4.207
1.549 1.389 7.012
0.000 0.000 0.000
0.000 2.778 2.805
2.778 0.000 2.805
0.000 0.000 5.610
```

Entry ii
First-principles (PBE-GGA) data for a relaxed structure of Mn2PtI, as listed in Alexandria via LeMat-Bulk.

Structure (POSCAR):
```
Mn2PtI
1.0
0.000 3.105 3.105
3.105 0.000 3.105
3.105 3.105 0.000
Mn Pt I
2 1 1
Cartesian
1.553 1.553 1.553
4.658 4.658 4.658
0.000 0.000 0.000
3.105 3.105 3.105
```

The most stable of them is entry ii.

Entry i
First-principles (PBE-GGA) data for a relaxed structure of MnSb2PtI, as listed in Alexandria via LeMat-Bulk.

Structure (POSCAR):
```
MnSb2PtI
1.0
4.989 0.000 0.000
0.000 4.989 0.000
0.000 0.000 5.067
Mn Sb Pt I
1 2 1 1
Cartesian
0.000 0.000 0.000
0.000 2.494 0.000
2.494 0.000 0.000
2.494 2.494 2.534
0.000 0.000 2.534
```

Entry ii
First-principles (PBE-GGA) data for a relaxed structure of MnSb2PtI, as listed in Alexandria via LeMat-Bulk.

Structure (POSCAR):
```
MnSb2PtI
1.0
5.253 0.000 0.000
0.000 5.253 0.000
0.000 0.000 5.598
Mn Sb Pt I
1 2 1 1
Cartesian
0.000 0.000 0.000
0.000 2.626 2.799
2.626 0.000 2.799
2.626 2.626 2.799
2.626 2.626 0.000
```

The most stable of them is entry ii.